DFT (PBE) results for a relaxed LiTe2Pd crystal.

Values from the calculation:
Formation energy from raw total energies: -0.365 eV per atom
Space-group type: I-42d (122)
Calculated density: 6.2 Mg/m³
Energy: -3.712 eV per atom
Magnetic moment: 0.0 Bohr magnetons per cell

Cell lengths 4.8699, 4.8699, 9.0190 Å; angles 74.34, 74.34, 90.00 degrees
With the nearest neighbours (Å) after each atom.
Element x y z (fractional)
Li: 0.5000 0.5000 0.0000  4 Te 2.73
Li: 0.2500 0.7500 0.5000  4 Te 2.73
Pd: 0.7500 0.2500 0.5000  4 Te 2.68
Pd: 0.0000 0.0000 0.0000  4 Te 2.68
Te: 0.1130 0.6250 0.2500  2 Pd 2.68, 2 Li 2.73
Te: 0.8750 0.8870 0.7500  2 Pd 2.68, 2 Li 2.73
Te: 0.3750 0.3630 0.7500  2 Pd 2.68, 2 Li 2.73
Te: 0.6370 0.1250 0.2500  2 Pd 2.68, 2 Li 2.73

***

DFT (PBE) results for a relaxed CuOsPt crystal.

Values from the calculation:
Space-group type: P3m1 (156)
Calculated density: 17.6 Mg/m³
Energy: -6.968 eV per atom
Magnetic moment: 0.0 Bohr magnetons per cell
Energy of formation: 154 meV/atom

Cell lengths 2.7292, 2.7292, 6.5828 Å; angles 90.00, 90.00, 120.00 degrees
With the nearest neighbours (Å) after each atom.
Element x y z (fractional)
Os: 0.6667 0.3333 0.3276  3 Cu 2.66, 6 Os 2.73, 3 Pt 2.75
Cu: 0.0000 0.0000 0.0029  3 Os 2.66, 3 Pt 2.70, 6 Cu 2.73
Pt: 0.3333 0.6667 0.6694  3 Cu 2.70, 6 Pt 2.73, 3 Os 2.75

***

DFT (PBE) results for a relaxed ScCo2Si crystal.

Values from the calculation:
Formation energy from raw total energies: -0.474 eV per atom
Space-group type: P4/mmm (123)
Calculated density: 6.3 Mg/m³
Energy: -6.966 eV per atom
Magnetic moment: 0.5 Bohr magnetons per cell

Cell lengths 6.4971, 4.0274, 3.1271 Å; angles 89.98, 61.26, 128.31 degrees
With the nearest neighbours (Å) after each atom.
Element x y z (fractional)
Co: 0.0000 0.0000 0.0000  4 Si 2.55, 4 Sc 2.55, 4 Co 2.85
Co: 0.5000 0.0000 0.5000  4 Sc 2.55, 4 Si 2.55, 4 Co 2.85
Sc: 0.0000 0.5000 0.5000  8 Co 2.55, 4 Si 2.85
Si: 0.5000 0.5000 0.0000  8 Co 2.55, 4 Sc 2.85

***

What is the energy in the third record?
-6.966 eV per atom

***

The highest calculated density belongs to which entry?
CuOsPt

***

Look up the magnetic moment of the second one.
0.0 Bohr magnetons per cell